No. 1
{"formula": "LaSn2H", "functional": "PBE", "state": "relaxed", "lattice_angstrom": [[0.000, 3.719, 3.719], [3.719, 0.000, 3.719], [3.719, 3.719, 0.000]], "species": ["La", "Sn", "Sn", "H"], "fractional_positions": [[0.000, 0.000, 0.000], [0.250, 0.250, 0.250], [0.750, 0.750, 0.750], [0.500, 0.500, 0.500]], "total_energy_ev_per_cell": -15.136}



No. 2
{"formula": "PrY2Al2Ga2", "functional": "PBE", "state": "relaxed", "lattice_angstrom": [[2.141, 1.236, 11.052], [-2.141, 1.236, 11.052], [0.000, -2.472, 11.052]], "species": ["Pr", "Y", "Y", "Al", "Al", "Ga", "Ga"], "fractional_positions": [[0.000, 0.000, 0.000], [0.126, 0.126, 0.126], [0.874, 0.874, 0.874], [0.395, 0.395, 0.395], [0.605, 0.605, 0.605], [0.260, 0.260, 0.260], [0.740, 0.740, 0.740]], "total_energy_ev_per_cell": -34.204, "ef_ev_per_atom": -0.42}



No. 3
{"formula": "Ca5AcZn2", "functional": "PBE", "state": "relaxed", "lattice_angstrom": [[6.791, -5.040, 0.000], [6.791, 5.040, 0.000], [-1.309, 0.000, 4.020]], "species": ["Ca", "Ca", "Ca", "Ca", "Ca", "Ac", "Zn", "Zn"], "fractional_positions": [[0.000, 0.000, 0.000], [0.054, 0.648, 0.351], [0.352, 0.946, 0.649], [0.648, 0.054, 0.351], [0.946, 0.352, 0.649], [0.500, 0.500, 0.000], [0.268, 0.268, 0.267], [0.732, 0.732, 0.733]], "total_energy_ev_per_cell": -16.765, "ef_ev_per_atom": -0.01}



No. 4
{"formula": "AcPtAu2O8", "functional": "PBE", "state": "relaxed", "lattice_angstrom": [[-3.609, 3.609, 3.525], [3.609, -3.609, 3.525], [3.609, 3.609, -3.525]], "species": ["Ac", "Pt", "Au", "Au", "O", "O", "O", "O", "O", "O", "O", "O"], "fractional_positions": [[0.000, 0.000, 0.000], [0.250, 0.750, 0.500], [0.500, 0.500, 0.000], [0.750, 0.250, 0.500], [0.288, 0.078, 0.790], [0.288, 0.498, 0.210], [0.361, 0.015, 0.345], [0.502, 0.712, 0.790], [0.670, 0.015, 0.655], [0.922, 0.712, 0.210], [0.985, 0.330, 0.345], [0.985, 0.639, 0.655]], "total_energy_ev_per_cell": -59.890, "formation_energy_uncorrected_ev_per_fu": -3.5}